Below is RbTiRu3 after structural relaxation, with properties calculated at the PBE level.

Summary:
polymorph energy (0 for the lowest one) = 1470 meV per atom
space group = Pm-3m, No. 221
ΔE_f = 2.793 eV per atom

Cell lengths 4.6401, 4.6401, 4.6401 Å; angles 90.00, 90.00, 90.00 degrees
Last column: nearest neighbours and their distance in Å.
Fractional positions:
Ru 0.0000 0.5000 0.0000  2 Rb 2.32
Ru 0.0000 0.0000 0.5000  2 Rb 2.32
Ru 0.5000 0.0000 0.0000  2 Rb 2.32
Rb 0.0000 0.0000 0.0000  6 Ru 2.32
Ti 0.5000 0.5000 0.5000  12 Ru 3.28

Below is Y3InO after structural relaxation, with properties calculated at the PBE level.

Summary:
space group = C2/c, No. 15
formation energy from raw total energies = -1257.2 meV per atom

Cell lengths 12.6288, 8.8477, 8.8477 Å; angles 81.34, 124.73, 55.27 degrees
Last column: nearest neighbours and their distance in Å.
Fractional positions:
Y 0.4028 0.4141 0.4500  3 O 2.42-2.43
Y 0.0972 0.9500 0.9141  3 O 2.42-2.43
Y 0.5972 0.5859 0.5500  3 O 2.42-2.43
Y 0.9028 0.0500 0.0859  3 O 2.42-2.43
Y 0.0941 0.2194 0.1733  2 O 2.42-2.49
Y 0.4059 0.6733 0.7194  2 O 2.42-2.49
Y 0.9059 0.7806 0.8267  2 O 2.42-2.49
Y 0.5941 0.3267 0.2806  2 O 2.42-2.49
Y 0.5764 0.8690 0.8016  1 O 2.52
Y 0.9236 0.3016 0.3690  1 O 2.52
Y 0.4236 0.1310 0.1984  1 O 2.52
Y 0.0764 0.6984 0.6310  1 O 2.52
O 0.7500 0.1875 0.6875  6 Y 2.42-2.49
O 0.2500 0.8125 0.3125  6 Y 2.42-2.49
O 0.7500 0.4478 0.9478  6 Y 2.42-2.52
O 0.2500 0.5522 0.0522  6 Y 2.42-2.52
In 0.0569 0.5389 0.3201  8 Y 3.17-3.54
In 0.4431 0.8201 0.0389  8 Y 3.17-3.54
In 0.9431 0.4611 0.6799  8 Y 3.17-3.54
In 0.5569 0.1799 0.9611  8 Y 3.17-3.54

Below is YH8Ir2Pd after structural relaxation, with properties calculated at the PBE level.

Summary:
space group = C2/m, No. 12
raw total energy = -58.074 eV for the cell shown

Cell lengths 4.0261, 5.0143, 6.5138 Å; angles 62.86, 72.00, 66.33 degrees
Last column: nearest neighbours and their distance in Å.
Fractional positions:
Y 0.5000 0.5000 0.5000  10 H 2.29-2.53
H 0.8595 0.7355 0.5455  1 Ir 1.64
H 0.6935 0.4762 0.1369  1 Ir 1.79
H 0.1405 0.2645 0.4545  1 Ir 1.64
H 0.3065 0.5238 0.8631  1 Ir 1.79
H 0.6173 0.0239 0.2482  1 Ir 1.65
H 0.3827 0.9761 0.7518  1 Ir 1.65
H 0.1106 0.0239 0.2482  1 Ir 1.65
H 0.8894 0.9761 0.7518  1 Ir 1.65
Ir 0.2477 0.3303 0.1744  4 H 1.64-1.79
Ir 0.7523 0.6697 0.8256  4 H 1.64-1.79
Pd 0.0000 0.0000 0.0000  4 H 1.87

Below is Na2PmZrS4 after structural relaxation, with properties calculated at the PBE level.

Summary:
space group = P2/m, No. 10
formation energy from raw total energies = -1609.3 meV per atom

Cell lengths 3.8713, 6.7759, 7.1190 Å; angles 108.23, 90.00, 90.00 degrees
Last column: nearest neighbours and their distance in Å.
Fractional positions:
Na 0.5000 0.0000 0.5000  6 S 2.83-2.84
Na 0.0000 0.5000 0.5000  6 S 2.96-2.98
Pm 0.5000 0.5000 0.0000  6 S 2.80-2.81
Zr 0.0000 0.0000 0.0000  6 S 2.65-2.67
S 0.5000 0.2259 0.2247  2 Zr 2.67, 1 Pm 2.81, 3 Na 2.84-2.96
S 0.5000 0.7741 0.7753  2 Zr 2.67, 1 Pm 2.81, 3 Na 2.84-2.96
S 0.0000 0.2372 0.7672  1 Zr 2.65, 2 Pm 2.80, 2 Na 2.83
S 0.0000 0.7628 0.2328  1 Zr 2.65, 2 Pm 2.80, 2 Na 2.83

Below is NdMg3Ni2 after structural relaxation, with properties calculated at the PBE level.

Summary:
space group = C2/m, No. 12
ΔE_f = -0.155 eV per atom

Cell lengths 3.9852, 8.6574, 8.6099 Å; angles 122.32, 90.00, 103.31 degrees
Last column: nearest neighbours and their distance in Å.
Fractional positions:
Nd 0.8680 0.7360 0.9080  6 Ni 2.87-3.15
Nd 0.1320 0.2640 0.0920  6 Ni 2.87-3.15
Mg 0.3215 0.6431 0.5436  4 Ni 2.66-2.74, 4 Mg 2.89-2.92
Mg 0.9666 0.9331 0.6266  3 Ni 2.65-2.73, 3 Mg 2.92-2.95
Mg 0.6352 0.2705 0.7701  3 Ni 2.67-2.81
Mg 0.3648 0.7295 0.2299  3 Ni 2.67-2.81
Mg 0.0334 0.0669 0.3734  3 Ni 2.65-2.73, 3 Mg 2.92-2.95
Mg 0.6785 0.3569 0.4564  4 Ni 2.66-2.74, 4 Mg 2.89-2.92
Ni 0.4964 0.9928 0.8561  1 Ni 2.41, 3 Mg 2.65-2.69
Ni 0.5036 0.0072 0.1439  1 Ni 2.41, 3 Mg 2.65-2.69
Ni 0.7880 0.5760 0.3107  6 Mg 2.66-2.74
Ni 0.2120 0.4240 0.6893  6 Mg 2.66-2.74

Below is KSe2Cl after structural relaxation, with properties calculated at the PBE level.

Summary:
polymorph energy (0 for the lowest one) = 3 meV per atom
space group = Pm, No. 6
formation energy from raw total energies = -796.3 meV per atom

Cell lengths 4.0904, 4.4871, 8.3233 Å; angles 70.03, 90.00, 90.00 degrees
Last column: nearest neighbours and their distance in Å.
Fractional positions:
K 0.5000 0.7319 0.6238  4 Cl 3.04
Se 0.0000 0.1708 0.0892  2 Se 2.41
Se 0.5000 0.3583 0.1745  2 Se 2.41
Cl 0.0000 0.2390 0.6124  4 K 3.04